An optimized crystal structure of ZrBeTe2. Source: the Alexandria database, functional PBE-GGA.

It has space group P4mm (No. 99), with a = 3.6672 Å, b = 3.6672 Å, c = 7.2784 Å, α = 90.00°, β = 90.00° and γ = 90.00°. Symmetry generates all atoms from Zr at (0.0000, 0.0000, 0.0000), Be at (0.5000, 0.5000, 0.2459), Te at (0.0000, 0.0000, 0.3783) and Te at (0.5000, 0.5000, 0.8183).

For the size of the total moment, the calculation gives 0.000 μB/atom. As for the calculated volume: 24.5 Å³/atom. Its density of states at the Fermi level is 0.674 states/eV/atom. The formation energy from raw total energies comes out at -0.183 eV/atom.